First-principles (SCAN) data for a PBEsol-optimized structure of MgAlZn2, as listed in Alexandria via LeMat-Bulk. Values from VASP.

The structure in Quantum ESPRESSO input format:
```
&SYSTEM
  ibrav = 0, nat = 4, ntyp = 3
/
ATOMIC_SPECIES
Mg 24.30 Mg.upf
Zn 65.41 Zn.upf
Al 26.98 Al.upf
ATOMIC_POSITIONS angstrom
Mg 1.4671 1.9188 2.8720
Zn -0.0363 0.0000 4.3700
Zn 2.9705 0.0000 1.3739
Al 1.4910 1.9188 0.0125
CELL_PARAMETERS angstrom
2.9820 0.0000 0.0249
0.0000 3.8376 0.0000
-0.0479 0.0000 5.7190
```

Results
volume = 65.5 Å³/cell
VASP energy = -9.9871 eV per atom
ΔE_f = -0.048 eV per atom
space-group type = Pmmm, No. 47